Entry 1:
Compound: BaCaNb2I
Source: Alexandria
Functional: PBE
Structure: optimized geometry

Computed properties:
Theoretical density in g cm⁻³: 4.90
V in Å³/cell: 166
Energy relative to the elements, uncorrected in eV/f.u.: 6.8

Unit cell a=5.140 b=5.140 c=6.286 alpha=90.00 beta=90.00 gamma=90.00
Space group P4/mmm (No. 123)
Symmetry-distinct sites (fractional):
Ba (0.000, 0.000, 0.000) [1 per cell]
Ca (0.500, 0.500, 0.500) [1 per cell]
Nb (0.000, 0.500, 0.500) [2 per cell]
I (0.500, 0.500, 0.000) [1 per cell]

Entry 2:
Compound: KSi
Source: Alexandria
Functional: PBE
Structure: optimized geometry

Computed properties:
Theoretical density in g cm⁻³: 1.40
ΔE to the lowest computed polymorph in meV/atom: 197.2
V in Å³/cell: 159
Energy relative to the elements, uncorrected in eV/f.u.: 0.2

Unit cell a=3.918 b=4.882 c=8.305 alpha=90.00 beta=90.00 gamma=90.00
Space group Pmma (No. 51)
Symmetry-distinct sites (fractional):
K (0.250, 0.000, 0.239) [2 per cell]
Si (0.250, 0.500, 0.923) [2 per cell]

Entry 3:
Compound: Tm3Zn4Au4
Source: Alexandria
Functional: PBE
Structure: optimized geometry

Computed properties:
Theoretical density in g cm⁻³: 11.88
ΔE_f in eV per atom: -0.599
ΔE to the lowest computed polymorph in meV/atom: 0.0
V in Å³/cell: 218

Unit cell a=3.460 b=4.392 c=14.574 alpha=98.34 beta=96.80 gamma=90.10
Space group P-1 (No. 2)
Symmetry-distinct sites (fractional):
Tm (0.000, 0.000, 0.000) [1 per cell]
Tm (0.143, 0.642, 0.285) [2 per cell]
Zn (0.260, 0.261, 0.518) [2 per cell]
Zn (0.405, 0.906, 0.810) [2 per cell]
Au (0.313, 0.816, 0.629) [2 per cell]
Au (0.452, 0.451, 0.902) [2 per cell]

Entry 4:
Compound: DyH3Ir
Source: Alexandria
Functional: PBE
Structure: optimized geometry

Computed properties:
Theoretical density in g cm⁻³: 11.95
Final energy in eV per atom: -5.201
V in Å³/cell: 50

Unit cell a=3.677 b=3.677 c=3.677 alpha=90.00 beta=90.00 gamma=90.00
Space group Pm-3m (No. 221)
Symmetry-distinct sites (fractional):
Dy (0.000, 0.000, 0.000) [1 per cell]
H (0.000, 0.500, 0.500) [3 per cell]
Ir (0.500, 0.500, 0.500) [1 per cell]

Q: Which of these has the highest theoretical density?
A: DyH3Ir

Copy entry 2 word for word.
Compound: KSi
Source: Alexandria
Functional: PBE
Structure: optimized geometry

Computed properties:
Theoretical density in g cm⁻³: 1.40
ΔE to the lowest computed polymorph in meV/atom: 197.2
V in Å³/cell: 159
Energy relative to the elements, uncorrected in eV/f.u.: 0.2

Unit cell a=3.918 b=4.882 c=8.305 alpha=90.00 beta=90.00 gamma=90.00
Space group Pmma (No. 51)
Symmetry-distinct sites (fractional):
K (0.250, 0.000, 0.239) [2 per cell]
Si (0.250, 0.500, 0.923) [2 per cell]

Q: The highest V belongs to which entry?
A: Tm3Zn4Au4